Computed, not measured: a relaxed structure of CaRe2As at the PBE-GGA level of DFT.

Geometry as POSCAR:
```
CaRe2As
1.0
-3.648 -1.402 -1.530
1.559 -2.108 -1.785
-0.292 -3.984 4.347
Ca As Re
1 1 2
direct
0.500 0.872 0.715
0.000 0.379 0.469
0.500 0.364 0.181
0.000 0.885 0.135
```

* SG: Pm (6)
* DFT formation energy: 0.170 eV per atom

***

Computed, not measured: a relaxed structure of Ta2FeIr at the PBE-GGA level of DFT.

Geometry as POSCAR:
```
Ta2FeIr
1.0
-1.742 1.605 2.746
-2.185 -1.879 -0.288
0.723 -5.244 3.523
Ta Fe Ir
2 1 1
direct
0.000 0.028 0.012
0.000 0.472 0.488
0.500 0.250 0.250
0.500 0.750 0.750
```

* SG: P2/m (10)
* DFT formation energy: -0.275 eV per atom

***

Computed, not measured: a relaxed structure of Sc2MnPb at the PBE-GGA level of DFT.

Geometry as POSCAR:
```
Sc2MnPb
1.0
9.219 0.041 0.024
8.620 3.268 0.024
8.620 1.599 2.850
Sc Pb Mn
2 1 1
direct
0.517 0.517 0.517
0.983 0.983 0.983
0.750 0.750 0.750
0.250 0.250 0.250
```

* SG: R-3m (166)
* DFT formation energy: 0.075 eV per atom

***

Computed, not measured: a relaxed structure of Pm3Pr3In2Ga at the PBE-GGA level of DFT.

Geometry as POSCAR:
```
Pm3Pr3In2Ga
1.0
-0.619 0.211 -3.770
-8.817 -1.855 1.343
2.889 8.639 0.009
Ga Pm In Pr
1 3 2 3
direct
0.000 0.000 0.000
0.000 0.389 0.000
0.000 0.611 0.611
0.000 0.000 0.389
0.500 0.333 0.667
0.500 0.667 0.333
0.500 0.729 0.000
0.500 0.000 0.729
0.500 0.271 0.271
```

* SG: P-62m (189)
* DFT formation energy: -0.342 eV per atom

***

Computed, not measured: a relaxed structure of VPdSeN2 at the PBE-GGA level of DFT.

Geometry as POSCAR:
```
VPdSeN2
1.0
-3.400 -0.753 -1.287
1.129 -3.394 -0.996
-1.422 -1.901 4.867
V N Pd Se
1 2 1 1
direct
0.000 0.000 0.000
0.500 0.000 0.000
0.000 0.500 0.000
0.500 0.500 0.500
0.000 0.000 0.500
```

* relative energy among the computed polymorphs: 0 meV/atom
* SG: P4/mmm (123)

***

Computed, not measured: a relaxed structure of Y6CdIr at the PBE-GGA level of DFT.

Geometry as POSCAR:
```
Y6CdIr
1.0
-0.471 6.847 0.844
-3.278 2.587 5.518
4.193 3.112 5.363
Y Ir Cd
6 1 1
direct
0.580 0.218 0.246
0.782 0.043 0.754
0.218 0.957 0.246
0.044 0.420 0.754
0.420 0.782 0.754
0.956 0.580 0.246
0.000 0.000 0.000
0.500 0.500 0.500
```

* SG: P-1 (2)
* DFT formation energy: -0.126 eV per atom

***

Computed, not measured: a relaxed structure of Th2Ni5Ir at the PBE-GGA level of DFT.

Geometry as POSCAR:
```
Th2Ni5Ir
1.0
5.645 -0.012 -0.017
-2.790 4.908 0.017
-2.790 -1.654 4.621
Ni Th Ir
5 2 1
direct
0.000 0.278 0.778
0.499 0.778 0.778
0.501 0.278 0.278
0.000 0.778 0.278
0.000 0.277 0.277
0.500 0.278 0.778
0.500 0.778 0.278
0.000 0.778 0.778
```

* SG: I4mm (107)
* DFT formation energy: -0.416 eV per atom

***

Computed, not measured: a relaxed structure of ThGa2NiRh2 at the PBE-GGA level of DFT.

Geometry as POSCAR:
```
ThGa2NiRh2
1.0
-0.902 -3.298 -2.829
-2.605 -1.902 3.048
-4.317 2.831 -1.924
Rh Ga Th Ni
2 2 1 1
direct
0.500 0.500 0.261
0.500 0.500 0.739
0.000 0.500 0.000
0.500 0.000 0.000
0.000 0.000 0.500
0.000 0.000 0.000
```

* SG: P4/mmm (123)
* DFT formation energy: -0.412 eV per atom